[1]
An optimized crystal structure of MoAs2Ru, computed with PBE.

Summary:
**Density of states at the Fermi level**: 6.4 states/eV per cell
**Total energy**: -6.97 eV/atom
**ΔH_f (0 K)**: 381 meV/atom
**Energy relative to the lowest polymorph listed for this composition**: 0.470 eV per atom

Lattice parameters (Å, degrees): 6.684 6.684 6.684 129.73 129.73 73.83
Fractional positions:
Mo  0.000  0.000  0.000
Mo  0.750  0.250  0.500
As  0.136  0.625  0.011
As  0.375  0.386  0.511
As  0.614  0.125  0.989
As  0.875  0.864  0.489
Ru  0.250  0.750  0.500
Ru  0.500  0.500  0.000


[2]
An optimized crystal structure of Mo2AsRu, computed with PBE.

Summary:
**Density of states at the Fermi level**: 6.8 states/eV per cell
**Total energy**: -8.40 eV/atom
**ΔH_f (0 K)**: 494 meV/atom

Lattice parameters (Å, degrees): 5.614 5.614 5.614 103.47 103.47 122.29
Fractional positions:
Mo  0.125  0.625  0.000
Mo  0.375  0.375  0.500
Mo  0.625  0.125  0.000
Mo  0.875  0.875  0.500
As  0.000  0.000  0.000
As  0.750  0.250  0.500
Ru  0.250  0.750  0.500
Ru  0.500  0.500  0.000


[3]
An optimized crystal structure of Mo2AsRu, computed with PBE.

Summary:
**Density of states at the Fermi level**: 2.6 states/eV per cell
**Total energy**: -8.89 eV/atom
**ΔH_f (0 K)**: 9 meV/atom

Lattice parameters (Å, degrees): 5.171 5.171 5.171 145.14 129.91 62.47
Fractional positions:
Mo  0.234  0.234  0.000
Mo  0.766  0.766  0.000
As  0.000  0.500  0.500
Ru  0.500  0.000  0.500


[4]
An optimized crystal structure of MoAsRu, computed with PBE.

Summary:
**Density of states at the Fermi level**: 3.7 states/eV per cell
**Total energy**: -8.30 eV/atom
**ΔH_f (0 K)**: -46 meV/atom

Lattice parameters (Å, degrees): 5.376 5.376 5.913 98.46 98.46 32.83
Fractional positions:
Mo  0.000  0.000  0.000
Mo  0.710  0.710  0.252
As  0.417  0.417  0.277
As  0.707  0.707  0.828
Ru  0.081  0.081  0.539
Ru  0.357  0.357  0.654


[5]
An optimized crystal structure of MoAsRu, computed with PBE.

Summary:
**Density of states at the Fermi level**: 4.0 states/eV per cell
**Total energy**: -8.35 eV/atom
**ΔH_f (0 K)**: -99 meV/atom

Lattice parameters (Å, degrees): 5.512 5.512 5.740 102.84 102.84 32.21
Fractional positions:
Mo  0.000  0.000  0.000
Mo  0.656  0.656  0.340
As  0.325  0.325  0.646
As  0.615  0.615  0.762
Ru  0.280  0.280  0.058
Ru  0.934  0.934  0.421


[6]
An optimized crystal structure of MoAsRu2, computed with PBE.

Summary:
**Density of states at the Fermi level**: 3.6 states/eV per cell
**Total energy**: -8.40 eV/atom
**ΔH_f (0 K)**: 106 meV/atom

Lattice parameters (Å, degrees): 2.892 3.997 5.180 90.00 90.00 90.00
Fractional positions:
Mo  0.000  0.000  0.000
As  0.500  0.500  0.696
Ru  0.000  0.000  0.520
Ru  0.500  0.500  0.198